(1)
{
  "formula": "SbOs3C",
  "functional": "SCAN",
  "state": "single point on PBEsol structure",
  "lattice": [[4.7755, 0.0000, 0.0000], [0.0000, 4.7755, 0.0000], [0.0000, 0.0000, 4.7755]],
  "species": ["Sb", "C", "Os", "Os", "Os"],
  "fractional_positions": [[0.0000, 0.0000, 0.0000], [0.5000, 0.5000, 0.5000], [0.0000, 0.5000, 0.0000], [0.0000, 0.0000, 0.5000], [0.5000, 0.0000, 0.0000]]
}

---

(2)
{
  "formula": "SbOs2C",
  "functional": "SCAN",
  "state": "single point on PBEsol structure",
  "lattice": [[4.2767, 0.0000, 0.0000], [2.1383, 3.7037, 0.0000], [2.1383, 1.2346, 3.4919]],
  "species": ["Sb", "C", "Os", "Os"],
  "fractional_positions": [[0.5000, 0.5000, 0.5000], [0.0000, 0.0000, 0.0000], [0.2500, 0.2500, 0.2500], [0.7500, 0.7500, 0.7500]]
}

---

(3)
{
  "formula": "Sc3OsC",
  "functional": "SCAN",
  "state": "single point on PBEsol structure",
  "lattice": [[4.3628, 0.0000, 0.0000], [0.0000, 4.3628, 0.0000], [0.0000, 0.0000, 4.3628]],
  "species": ["Sc", "Sc", "Sc", "C", "Os"],
  "fractional_positions": [[0.0000, 0.5000, 0.0000], [0.0000, 0.0000, 0.5000], [0.5000, 0.0000, 0.0000], [0.0000, 0.0000, 0.0000], [0.5000, 0.5000, 0.5000]],
  "formation_enthalpy_0k_kj_per_mol_atoms": -29
}

---

(4)
{
  "formula": "OsCSe3",
  "functional": "SCAN",
  "state": "single point on PBEsol structure",
  "lattice": [[4.1869, 0.0000, 0.0000], [0.0000, 4.1869, 0.0000], [0.0000, 0.0000, 4.1869]],
  "species": ["C", "Os", "Se", "Se", "Se"],
  "fractional_positions": [[0.0000, 0.0000, 0.0000], [0.5000, 0.5000, 0.5000], [0.0000, 0.5000, 0.0000], [0.0000, 0.0000, 0.5000], [0.5000, 0.0000, 0.0000]]
}

---

(5)
{
  "formula": "SiOsC3",
  "functional": "SCAN",
  "state": "single point on PBEsol structure",
  "lattice": [[-2.9008, -2.0799, 0.8702], [1.6084, -2.9028, -1.5763], [1.5800, -0.8636, 3.2025]],
  "species": ["Si", "Os", "C", "C", "C"],
  "fractional_positions": [[0.0000, 0.0000, 0.0000], [0.5000, 0.5000, 0.5000], [0.0000, 0.5000, 0.0000], [0.0000, 0.0000, 0.5000], [0.5000, 0.0000, 0.0000]]
}

---

(6)
{
  "formula": "SmSiOs2C",
  "functional": "SCAN",
  "state": "single point on PBEsol structure",
  "lattice": [[3.9007, 0.0000, 0.0000], [-1.9503, 5.5169, 0.0000], [0.0000, 0.0000, 7.1035]],
  "species": ["Sm", "Sm", "Si", "Si", "Os", "Os", "Os", "Os", "C", "C"],
  "fractional_positions": [[0.4509, 0.9018, 0.2500], [0.5491, 0.0982, 0.7500], [0.7300, 0.4601, 0.2500], [0.2700, 0.5399, 0.7500], [0.1662, 0.3324, 0.4404], [0.8338, 0.6676, 0.5596], [0.8338, 0.6676, 0.9404], [0.1662, 0.3324, 0.0596], [0.0000, 0.0000, 0.5000], [0.0000, 0.0000, 0.0000]]
}

---

(7)
{
  "formula": "TmSiOs2C",
  "functional": "SCAN",
  "state": "single point on PBEsol structure",
  "lattice": [[3.7916, 0.0000, 0.0000], [-1.8958, 5.5363, 0.0000], [0.0000, 0.0000, 7.0371]],
  "species": ["Tm", "Tm", "Si", "Si", "Os", "Os", "Os", "Os", "C", "C"],
  "fractional_positions": [[0.4528, 0.9055, 0.2500], [0.5472, 0.0945, 0.7500], [0.7316, 0.4633, 0.2500], [0.2684, 0.5367, 0.7500], [0.1649, 0.3298, 0.4423], [0.8351, 0.6702, 0.5577], [0.8351, 0.6702, 0.9423], [0.1649, 0.3298, 0.0577], [0.0000, 0.0000, 0.5000], [0.0000, 0.0000, 0.0000]]
}

---

(8)
{
  "formula": "YSiOs2C",
  "functional": "SCAN",
  "state": "single point on PBEsol structure",
  "lattice": [[-3.7822, -0.6219, -0.2078], [2.4748, -1.5067, -5.0813], [0.9485, -6.5738, 2.4112]],
  "species": ["Y", "Y", "Si", "Si", "Os", "Os", "Os", "Os", "C", "C"],
  "fractional_positions": [[0.4522, 0.9043, 0.2500], [0.5478, 0.0957, 0.7500], [0.7309, 0.4618, 0.2500], [0.2691, 0.5382, 0.7500], [0.1655, 0.3310, 0.4414], [0.8345, 0.6690, 0.5586], [0.8345, 0.6690, 0.9414], [0.1655, 0.3310, 0.0586], [0.0000, 0.0000, 0.5000], [0.0000, 0.0000, 0.0000]]
}

---

(9)
{
  "formula": "Ta3OsC",
  "functional": "SCAN",
  "state": "single point on PBEsol structure",
  "lattice": [[-1.3442, 2.4989, 3.8330], [-2.3044, -3.8211, 1.6831], [3.9531, -1.3777, 2.2845]],
  "species": ["C", "Os", "Ta", "Ta", "Ta"],
  "fractional_positions": [[0.5000, 0.5000, 0.5000], [0.0000, 0.0000, 0.0000], [0.0000, 0.5000, 0.0000], [0.0000, 0.0000, 0.5000], [0.5000, 0.0000, 0.0000]],
  "formation_enthalpy_0k_kj_per_mol_atoms": 230
}

---

(10)
{
  "formula": "TeOsC3",
  "functional": "SCAN",
  "state": "single point on PBEsol structure",
  "lattice": [[4.0468, 0.0000, 0.0000], [0.0000, 4.0468, 0.0000], [0.0000, 0.0000, 4.0468]],
  "species": ["C", "C", "C", "Te", "Os"],
  "fractional_positions": [[0.0000, 0.5000, 0.0000], [0.0000, 0.0000, 0.5000], [0.5000, 0.0000, 0.0000], [0.0000, 0.0000, 0.0000], [0.5000, 0.5000, 0.5000]]
}

---

(11)
{
  "formula": "Ti3OsC",
  "functional": "SCAN",
  "state": "single point on PBEsol structure",
  "lattice": [[-3.4095, 1.2320, 2.8927], [-3.1281, -1.7594, -2.9376], [0.3170, -4.1106, 2.1243]],
  "species": ["C", "Os", "Ti", "Ti", "Ti"],
  "fractional_positions": [[0.5000, 0.5000, 0.5000], [0.0000, 0.0000, 0.0000], [0.0000, 0.5000, 0.0000], [0.0000, 0.0000, 0.5000], [0.5000, 0.0000, 0.0000]],
  "formation_enthalpy_0k_kj_per_mol_atoms": 148
}

---

(12)
{
  "formula": "TiOsC3",
  "functional": "SCAN",
  "state": "single point on PBEsol structure",
  "lattice": [[-2.9775, -2.4353, 0.1614], [2.1615, -2.5129, 1.9584], [-1.1334, 1.6052, 3.3107]],
  "species": ["C", "C", "C", "Os", "Ti"],
  "fractional_positions": [[0.0000, 0.5000, 0.0000], [0.0000, 0.0000, 0.5000], [0.5000, 0.0000, 0.0000], [0.5000, 0.5000, 0.5000], [0.0000, 0.0000, 0.0000]],
  "formation_enthalpy_0k_kj_per_mol_atoms": 254
}

---

Number 1: DFT total energy -1.7864 hartree per atom. Number 2: DFT total energy -1.6958 hartree per atom. Number 3: DFT total energy -0.9274 hartree per atom. Number 4: DFT total energy -0.9833 hartree per atom. Number 5: DFT total energy -0.7337 hartree per atom. Number 6: DFT total energy -1.5528 hartree per atom. Number 7: DFT total energy -1.6070 hartree per atom. Number 8: DFT total energy -1.4318 hartree per atom. Number 9: DFT total energy -1.9831 hartree per atom. Number 10: DFT total energy -0.8905 hartree per atom. Number 11: DFT total energy -0.8997 hartree per atom. Number 12: DFT total energy -0.7720 hartree per atom.